# Tb2Nd3Tm6Pu

An optimized crystal structure of Tb2Nd3Tm6Pu (PBE, the Alexandria database). Values from VASP.

Structure (Quantum ESPRESSO input):
```
&SYSTEM
  ibrav = 0, nat = 12, ntyp = 4
/
ATOMIC_SPECIES
Tb 158.93 Tb.upf
Nd 144.24 Nd.upf
Tm 168.93 Tm.upf
Pu 244.00 Pu.upf
ATOMIC_POSITIONS crystal
Tb 0.1666 0.8334 0.0000
Tb 0.8334 0.1666 0.0000
Nd 0.0000 0.0000 0.5000
Nd 0.3327 0.6673 0.5000
Nd 0.6673 0.3327 0.5000
Tm 0.0896 0.4183 0.7551
Tm 0.2528 0.2528 0.2451
Tm 0.4183 0.0896 0.7551
Tm 0.5817 0.9104 0.2449
Tm 0.7472 0.7472 0.7549
Tm 0.9104 0.5817 0.2449
Pu 0.5000 0.5000 0.0000
CELL_PARAMETERS angstrom
3.0706 -5.3181 0.0000
3.0706 5.3181 0.0000
-2.0482 0.0000 11.4388
```

## Properties
* crystal system: monoclinic
* space-group type: C2/m (12)
* calculated formation energy: 0.042 eV/atom
* total magnetization: 0.539 μB/atom
* E_tot: -5.3517 eV/atom
* DOS at the Fermi energy: 21.5 states/eV/cell

# CsRbGa3

An optimized crystal structure of CsRbGa3 (PBE, the Alexandria database). Values from VASP.

Structure (Quantum ESPRESSO input):
```
&SYSTEM
  ibrav = 0, nat = 5, ntyp = 3
/
ATOMIC_SPECIES
Cs 132.91 Cs.upf
Rb 85.47 Rb.upf
Ga 69.72 Ga.upf
ATOMIC_POSITIONS crystal
Cs 0.0000 0.0000 0.0000
Rb 0.5000 0.5000 0.5000
Ga 0.0000 0.0000 0.5000
Ga 0.0000 0.5000 0.0000
Ga 0.5000 0.0000 0.0000
CELL_PARAMETERS angstrom
6.3449 0.0000 0.0000
0.0000 6.3449 0.0000
0.0000 0.0000 6.3449
```

## Properties
* crystal system: cubic
* space-group type: Pm-3m (221)
* calculated formation energy: 0.815 eV/atom
* total magnetization: 0.000 μB/atom
* E_tot: -1.3651 eV/atom
* DOS at the Fermi energy: 6.5 states/eV/cell

# Al2AsS

An optimized crystal structure of Al2AsS (PBE, the Alexandria database). Values from VASP.

Structure (Quantum ESPRESSO input):
```
&SYSTEM
  ibrav = 0, nat = 16, ntyp = 3
/
ATOMIC_SPECIES
Al 26.98 Al.upf
As 74.92 As.upf
S 32.06 S.upf
ATOMIC_POSITIONS crystal
Al 0.2500 0.2500 0.2500
Al 0.2500 0.2500 0.7500
Al 0.2500 0.7500 0.2500
Al 0.2500 0.7500 0.7500
Al 0.7500 0.2500 0.2500
Al 0.7500 0.2500 0.7500
Al 0.7500 0.7500 0.2500
Al 0.7500 0.7500 0.7500
As 0.0000 0.0000 0.0000
As 0.0000 0.5000 0.5000
As 0.5000 0.0000 0.5000
As 0.5000 0.5000 0.0000
S 0.0000 0.0000 0.5000
S 0.0000 0.5000 0.0000
S 0.5000 0.0000 0.0000
S 0.5000 0.5000 0.5000
CELL_PARAMETERS angstrom
6.4527 0.0000 0.0000
0.0000 6.4527 0.0000
0.0000 0.0000 6.4527
```

## Properties
* crystal system: cubic
* space-group type: Fm-3m (225)
* total magnetization: 0.000 μB/atom
* E_tot: -4.0380 eV/atom
* formation energy from raw total energies: 0.028 eV per atom
* DOS at the Fermi energy: 6.1 states/eV/cell

# Mn4CrAg

An optimized crystal structure of Mn4CrAg (PBE, the Alexandria database). Values from VASP.

Structure (Quantum ESPRESSO input):
```
&SYSTEM
  ibrav = 0, nat = 6, ntyp = 3
/
ATOMIC_SPECIES
Mn 54.94 Mn.upf
Cr 52.00 Cr.upf
Ag 107.87 Ag.upf
ATOMIC_POSITIONS crystal
Mn 0.1243 0.1243 0.1243
Mn 0.1243 0.1243 0.6272
Mn 0.1243 0.6272 0.1243
Mn 0.6272 0.1243 0.1243
Cr 0.5000 0.5000 0.5000
Ag 0.7500 0.7500 0.7500
CELL_PARAMETERS angstrom
0.0000 3.3638 3.3638
3.3638 0.0000 3.3638
3.3638 3.3638 0.0000
```

## Properties
* crystal system: cubic
* space-group type: F-43m (216)
* calculated formation energy: 0.326 eV/atom
* total magnetization: 0.539 μB/atom
* E_tot: -7.8660 eV/atom
* DOS at the Fermi energy: 6.4 states/eV/cell

# Sm2Y5Pd4

An optimized crystal structure of Sm2Y5Pd4 (PBE, the Alexandria database). Values from VASP.

Structure (Quantum ESPRESSO input):
```
&SYSTEM
  ibrav = 0, nat = 11, ntyp = 3
/
ATOMIC_SPECIES
Sm 150.36 Sm.upf
Y 88.91 Y.upf
Pd 106.42 Pd.upf
ATOMIC_POSITIONS crystal
Sm 0.0921 0.0921 0.1723
Sm 0.9079 0.9079 0.8277
Y 0.1335 0.1335 0.6813
Y 0.2363 0.2363 0.2514
Y 0.5000 0.5000 0.5000
Y 0.7637 0.7637 0.7486
Y 0.8665 0.8665 0.3187
Pd 0.0255 0.0255 0.8146
Pd 0.3286 0.3286 0.0055
Pd 0.6714 0.6714 0.9945
Pd 0.9745 0.9745 0.1854
CELL_PARAMETERS angstrom
12.4257 -1.8162 0.0000
12.4257 1.8162 0.0000
-0.3225 0.0000 6.8055
```

## Properties
* crystal system: monoclinic
* space-group type: C2/m (12)
* calculated formation energy: -0.396 eV/atom
* total magnetization: 0.000 μB/atom
* E_tot: -6.0803 eV/atom
* DOS at the Fermi energy: 11.3 states/eV/cell

# Tb4MgAl2

An optimized crystal structure of Tb4MgAl2 (PBE, the Alexandria database). Values from VASP.

Structure (Quantum ESPRESSO input):
```
&SYSTEM
  ibrav = 0, nat = 7, ntyp = 3
/
ATOMIC_SPECIES
Tb 158.93 Tb.upf
Mg 24.30 Mg.upf
Al 26.98 Al.upf
ATOMIC_POSITIONS crystal
Tb 0.1149 0.1149 0.1149
Tb 0.3685 0.3685 0.3685
Tb 0.6315 0.6315 0.6315
Tb 0.8851 0.8851 0.8851
Mg 0.5000 0.5000 0.5000
Al 0.2437 0.2437 0.2437
Al 0.7563 0.7563 0.7563
CELL_PARAMETERS angstrom
2.5740 1.4861 8.2438
-2.5740 1.4861 8.2438
0.0000 -2.9722 8.2438
```

## Properties
* crystal system: trigonal
* space-group type: R-3m (166)
* calculated formation energy: -0.198 eV/atom
* total magnetization: 0.000 μB/atom
* E_tot: -4.1413 eV/atom
* DOS at the Fermi energy: 6.2 states/eV/cell